Ba3Ir | PBE | relaxed

Results
SG: Cmmm, No. 65
V (Å³/f.u.): 205.37
ΔH_f (0 K) (eV/atom): -0.10

The structure in POSCAR format:
```
Ba3Ir
1.0
3.1760 -7.0947 0.0000
3.1760 7.0947 0.0000
0.0000 0.0000 4.5572
Ba Ir
3 1
Cartesian
0.0000 0.0000 0.0000
3.1760 2.0415 2.2786
3.1760 -2.0415 2.2786
3.1760 0.0000 0.0000
```